Material: CsHgBi
Method: DFT, PBE
State: relaxed

Cell lengths 5.294, 5.294, 8.887 Å; angles 90.00, 90.00, 90.00 degrees
Space group P4/nmm (No. 129, origin choice 2)
Asymmetric unit:
Cs1 0.250 0.250 0.177 (multiplicity 2)
Hg1 0.250 0.750 0.500 (multiplicity 2)
Bi1 0.250 0.250 0.689 (multiplicity 2)

Summary:
The total moment comes out at 0.00 μB per cell. As for the density of states at the Fermi level: 2.0 states/eV per cell. The value obtained for the formation energy is -0.27 eV/atom.